[1]
# LiPm2PaAs4

Crystalline LiPm2PaAs4 at its relaxed geometry (PBE, Alexandria via LeMat-Bulk).

Results
**VASP energy**: -48.28 eV/f.u.
**Energy relative to the elements**: -1.0965 eV/atom

Cell and atoms, written as CIF:
```
data_LiPm2PaAs4
_cell_length_a 7.089
_cell_length_b 4.210
_cell_length_c 7.201
_cell_angle_alpha 90.00
_cell_angle_beta 108.88
_cell_angle_gamma 90.00
_space_group_name_H-M_alt 'P 1 2/m 1'
_space_group_IT_number 10
loop_
_space_group_symop_operation_xyz
'x,y,z'
'-x,-y,-z'
'-x,y,-z'
'x,-y,z'
loop_
_atom_site_label
_atom_site_fract_x
_atom_site_fract_y
_atom_site_fract_z
_atom_site_occupancy
Li1 0.000 0.000 0.000 1
Pm1 0.000 0.500 0.500 1
Pm2 0.500 0.000 0.500 1
Pa1 0.500 0.500 0.000 1
As1 0.255 0.000 0.765 1
As2 0.257 0.500 0.238 1
```



[2]
# Y2SiO

Crystalline Y2SiO at its relaxed geometry (PBE, Alexandria via LeMat-Bulk).

Results
**VASP energy**: -30.02 eV/f.u.
**Polymorph energy (0 for the lowest one)**: 0.0 kJ per mole of atoms
**Uncorrected formation energy**: -1.6774 eV per atom

Cell and atoms, written as CIF:
```
data_Y2SiO
_cell_length_a 5.726
_cell_length_b 5.635
_cell_length_c 11.629
_cell_angle_alpha 90.00
_cell_angle_beta 115.86
_cell_angle_gamma 90.00
_space_group_name_H-M_alt 'P 1 2/c 1'
_space_group_IT_number 13
loop_
_space_group_symop_operation_xyz
'x,y,z'
'-x,-y,-z'
'-x,y,-z+1/2'
'x,-y,z+1/2'
loop_
_atom_site_label
_atom_site_fract_x
_atom_site_fract_y
_atom_site_fract_z
_atom_site_occupancy
Y1 0.095 0.219 0.107 1
Y2 0.315 0.233 0.859 1
Si1 0.389 0.268 0.374 1
O1 0.056 0.182 0.623 1
```



[3]
# Zn2TcAu

Crystalline Zn2TcAu at its relaxed geometry (PBE, Alexandria via LeMat-Bulk).

Results
**VASP energy**: -15.12 eV/f.u.
**Energy relative to the elements**: 0.2678 eV/atom
**Polymorph energy (0 for the lowest one)**: 25.7 kJ per mole of atoms

Cell and atoms, written as CIF:
```
data_Zn2TcAu
_cell_length_a 6.296
_cell_length_b 6.296
_cell_length_c 6.296
_cell_angle_alpha 90.00
_cell_angle_beta 90.00
_cell_angle_gamma 90.00
_space_group_name_H-M_alt 'F -4 3 m'
_space_group_IT_number 216
_space_group_name_Hall 'F -4 2 3'
loop_
_atom_site_label
_atom_site_fract_x
_atom_site_fract_y
_atom_site_fract_z
_atom_site_occupancy
Zn1 0.000 0.000 0.000 1
Zn2 0.250 0.250 0.250 1
Tc1 0.250 0.250 0.750 1
Au1 0.000 0.000 0.500 1
```



[4]
# HfSc2Al

Crystalline HfSc2Al at its relaxed geometry (PBE, Alexandria via LeMat-Bulk).

Results
**VASP energy**: -27.15 eV/f.u.
**Energy relative to the elements**: -0.1982 eV/atom

Cell and atoms, written as CIF:
```
data_HfSc2Al
_cell_length_a 11.469
_cell_length_b 3.187
_cell_length_c 10.630
_cell_angle_alpha 90.00
_cell_angle_beta 118.06
_cell_angle_gamma 90.00
_space_group_name_H-M_alt 'C 1 2/m 1'
_space_group_IT_number 12
loop_
_space_group_symop_operation_xyz
'x,y,z'
'-x,-y,-z'
'-x,y,-z'
'x,-y,z'
'x+1/2,y+1/2,z'
'-x+1/2,-y+1/2,-z'
'-x+1/2,y+1/2,-z'
'x+1/2,-y+1/2,z'
loop_
_atom_site_label
_atom_site_fract_x
_atom_site_fract_y
_atom_site_fract_z
_atom_site_occupancy
Hf1 0.124 0.000 0.153 1
Sc1 0.114 0.500 0.410 1
Sc2 0.119 0.500 0.888 1
Al1 0.137 0.000 0.653 1
```



Number 1: ρ 6.76 g/cm³. Number 2: ρ 4.37 g/cm³. Number 3: ρ 11.33 g/cm³. Number 4: ρ 5.72 g/cm³.